No. 1
VASP calculation (PBE) on a geometry-optimized Rb2ScNCl6 structure.

CIF file:
```
data_Rb2ScNCl6
_cell_length_a 7.943
_cell_length_b 7.943
_cell_length_c 7.226
_cell_angle_alpha 56.66
_cell_angle_beta 56.66
_cell_angle_gamma 90.00
_symmetry_space_group_name_H-M 'P 1'
_symmetry_Int_Tables_number 1
loop_
_symmetry_equiv_pos_as_xyz
'x,y,z'
loop_
_atom_site_label
_atom_site_fract_x
_atom_site_fract_y
_atom_site_fract_z
Rb1 0.250 0.750 0.500
Rb2 0.750 0.250 0.500
N1 0.500 0.500 0.000
Cl1 0.780 0.220 0.000
Cl2 0.723 0.723 0.554
Cl3 0.277 0.277 0.446
Cl4 0.780 0.780 0.000
Cl5 0.220 0.220 0.000
Cl6 0.220 0.780 0.000
Sc1 0.000 0.000 0.000
```

Results
DFT total energy	-3.943	eV/atom
volume	28.69	Å³/atom
D(E_F)	0.0	states/eV per cell

No. 2
VASP calculation (PBE) on a geometry-optimized RbSeN2Cl structure.

CIF file:
```
data_RbSeN2Cl
_cell_length_a 5.478
_cell_length_b 5.478
_cell_length_c 6.691
_cell_angle_alpha 90.00
_cell_angle_beta 90.00
_cell_angle_gamma 90.00
_symmetry_space_group_name_H-M 'P 1'
_symmetry_Int_Tables_number 1
loop_
_symmetry_equiv_pos_as_xyz
'x,y,z'
loop_
_atom_site_label
_atom_site_fract_x
_atom_site_fract_y
_atom_site_fract_z
N1 0.000 0.500 0.000
N2 0.500 0.000 0.000
Cl1 0.500 0.500 0.500
Se1 0.000 0.000 0.500
Rb1 0.000 0.000 0.000
```

Results
DFT total energy	-2.455	eV/atom
volume	40.17	Å³/atom
D(E_F)	8.6	states/eV per cell
E above lowest polymorph	0.421	eV per atom

No. 3
VASP calculation (PBE) on a geometry-optimized RbSeNCl2 structure.

CIF file:
```
data_RbSeNCl2
_cell_length_a 5.890
_cell_length_b 3.767
_cell_length_c 5.890
_cell_angle_alpha 90.00
_cell_angle_beta 90.00
_cell_angle_gamma 90.00
_symmetry_space_group_name_H-M 'P 1'
_symmetry_Int_Tables_number 1
loop_
_symmetry_equiv_pos_as_xyz
'x,y,z'
loop_
_atom_site_label
_atom_site_fract_x
_atom_site_fract_y
_atom_site_fract_z
Cl1 0.500 0.000 0.000
Cl2 0.000 0.000 0.500
Se1 0.000 0.500 0.000
Rb1 0.500 0.500 0.500
N1 0.000 0.000 0.000
```

Results
DFT total energy	-3.244	eV/atom
volume	26.14	Å³/atom
D(E_F)	1.9	states/eV per cell